# 1
Below is a relaxed Sr2AgOs crystal, with properties calculated at the PBE level.

Results
Energy relative to the elements = 483 meV/atom

Cell lengths 11.761, 3.243, 5.587 Å; angles 90.00, 105.37, 90.00 degrees
Fractional coordinates of all 8 atoms:
Sr: 0.000 0.000 0.000
Sr: 0.194 0.000 0.622
Sr: 0.500 0.500 0.000
Sr: 0.694 0.500 0.622
Ag: 0.424 0.000 0.439
Ag: 0.924 0.500 0.439
Os: 0.247 0.500 0.140
Os: 0.747 0.000 0.140

***

# 2
Below is a relaxed SrAgOs2 crystal, with properties calculated at the PBE level.

Results
ΔE to the lowest computed polymorph = 414 meV/atom
Energy relative to the elements = 883 meV/atom

Cell lengths 3.197, 5.173, 4.783 Å; angles 90.00, 95.32, 90.00 degrees
Fractional coordinates of all 4 atoms:
Sr: 0.000 0.000 0.000
Ag: 0.500 0.000 0.500
Os: 0.361 0.500 0.748
Os: 0.639 0.500 0.252